A plane-wave DFT calculation with GGA-PBE was carried out for a relaxed InGe2As2 crystal.

Properties
E_form ... 0.18 eV/atom
Offset from the most stable computed form ... 4.57 kJ/mol of atoms

Cell: 4.5419 4.5419 6.8918 Å, 70.76 70.76 90.00°
Fractional coordinates of all 5 atoms:
1 Ge 0.7500 0.2500 0.5000
2 Ge 0.2500 0.7500 0.5000
3 As 0.6356 0.6356 0.7288
4 As 0.3644 0.3644 0.2712
5 In 0.0000 0.0000 0.0000